Record 1
NaAgCl2: optimized geometry, PBE.

Cell: 6.1646 6.1646 7.4931 Å, 65.71 65.71 90.00°
Sites, in units of the cell vectors:
Ag1 0.7500 0.2500 0.5000
Ag2 0.0000 0.0000 0.0000
Na1 0.2500 0.7500 0.5000
Na2 0.5000 0.5000 0.0000
Cl1 0.3750 0.3644 0.7500
Cl2 0.6356 0.1250 0.2500
Cl3 0.8750 0.8856 0.7500
Cl4 0.1144 0.6250 0.2500

Output
V = 231.61 Å³ per cell
ΔE to the lowest computed polymorph = 0 meV per atom

Record 2
Lu2AlAg: optimized geometry, PBE.

Cell: 3.4926 3.4926 7.3497 Å, 90.00 90.00 90.00°
Sites, in units of the cell vectors:
Al1 0.5000 0.5000 0.0000
Lu1 0.0000 0.0000 0.2520
Lu2 0.0000 0.0000 0.7480
Ag1 0.5000 0.5000 0.5000

Output
V = 89.65 Å³ per cell
E_form = -366 meV/atom

Record 3
HfTi2AgO: optimized geometry, PBE.

Cell: 4.1594 4.1594 4.4163 Å, 90.00 90.00 90.00°
Sites, in units of the cell vectors:
Hf1 0.0000 0.0000 0.5000
Ti1 0.5000 0.0000 0.0000
Ti2 0.0000 0.5000 0.0000
O1 0.0000 0.0000 0.0000
Ag1 0.5000 0.5000 0.5000

Output
V = 76.40 Å³ per cell

Result set for DFT total energy: -3.062 -4.275 -7.733 eV per atom, one per record in the order listed.
Result set for DOS at the Fermi energy: 0.000 0.507 0.887 states/eV per atom, one per record in the order listed.
Result set for ρ: 2.89 8.98 8.65 g/cm3, one per record in the order listed.